Crystalline Y4ReTc at its relaxed geometry. Source: the Alexandria database, functional GGA-PBEsol.

Computed properties:
The value obtained for the energy of formation is 1235 meV/atom. The density is 8.0 Mg/m³.

a = 5.7218 Å, b = 5.7218 Å, c = 5.7218 Å
α = 60.00°, β = 60.00°, γ = 60.00°
With the nearest neighbours (Å) after each atom.
Fractional coordinates of all 6 atoms:
Y 0.1252 0.1252 0.1252  6 Y 2.86-2.87
Y 0.1252 0.1252 0.6244  6 Y 2.86-2.87
Y 0.1252 0.6244 0.1252  6 Y 2.86-2.87
Y 0.6244 0.1252 0.1252  6 Y 2.86-2.87
Re 0.5000 0.5000 0.5000  12 Y 3.35, 4 Tc 3.50
Tc 0.7500 0.7500 0.7500  12 Y 3.36, 4 Re 3.50

---

Crystalline YReTc2 at its relaxed geometry. Source: the Alexandria database, functional GGA-PBEsol.

Computed properties:
The value obtained for the energy of formation is 283 meV/atom. The density is 12.1 Mg/m³.

a = 4.5013 Å, b = 4.5013 Å, c = 4.5013 Å
α = 60.00°, β = 60.00°, γ = 60.00°
With the nearest neighbours (Å) after each atom.
Fractional coordinates of all 4 atoms:
Y 0.0000 0.0000 0.0000  4 Tc 2.76, 4 Re 2.76
Re 0.2500 0.2500 0.2500  4 Tc 2.76, 4 Y 2.76
Tc 0.5000 0.5000 0.5000  4 Tc 2.76, 4 Re 2.76
Tc 0.7500 0.7500 0.7500  4 Tc 2.76, 4 Y 2.76

---

Crystalline ZnReTc2 at its relaxed geometry. Source: the Alexandria database, functional GGA-PBEsol.

Computed properties:
The value obtained for the energy of formation is 59 meV/atom. The density is 13.1 Mg/m³.

a = 8.9203 Å, b = 8.9203 Å, c = 8.9203 Å
α = 17.58°, β = 17.58°, γ = 17.58°
With the nearest neighbours (Å) after each atom.
Fractional coordinates of all 4 atoms:
Zn 0.0000 0.0000 0.0000  6 Tc 2.73, 6 Zn 2.73
Re 0.5000 0.5000 0.5000  6 Tc 2.68, 6 Re 2.73
Tc 0.2489 0.2489 0.2489  3 Re 2.68, 3 Zn 2.73, 6 Tc 2.73
Tc 0.7511 0.7511 0.7511  3 Re 2.68, 3 Zn 2.73, 6 Tc 2.73

---

Crystalline ZnReTc2 at its relaxed geometry. Source: the Alexandria database, functional GGA-PBEsol.

Computed properties:
The value obtained for the energy of formation is 277 meV/atom. The density is 13.2 Mg/m³.

a = 5.0745 Å, b = 5.0745 Å, c = 2.6433 Å
α = 101.79°, β = 101.79°, γ = 116.23°
With the nearest neighbours (Å) after each atom.
Fractional coordinates of all 4 atoms:
Zn 0.0000 0.0000 0.0000  4 Tc 2.61, 2 Zn 2.64, 2 Re 2.68
Re 0.5000 0.5000 0.0000  4 Tc 2.61, 2 Re 2.64, 2 Zn 2.68
Tc 0.0000 0.5000 0.5000  2 Re 2.61, 2 Zn 2.61, 4 Tc 2.64-2.68
Tc 0.5000 0.0000 0.5000  2 Re 2.61, 2 Zn 2.61, 4 Tc 2.64-2.68